Record 1
Material: PmTiAlPt2
Method: DFT, PBE
State: relaxed

abc: 4.128 4.128 11.557
angles: 90.00 90.00 90.00
Atoms (fractional coordinates):
Pm (0.000, 0.000, 0.000)
Pm (0.500, 0.500, 0.500)
Ti (0.000, 0.500, 0.750)
Ti (0.500, 0.000, 0.250)
Al (0.000, 0.500, 0.250)
Al (0.500, 0.000, 0.750)
Pt (0.000, 0.000, 0.384)
Pt (0.000, 0.000, 0.616)
Pt (0.500, 0.500, 0.116)
Pt (0.500, 0.500, 0.884)

Calculated values
D(E_F) (states/eV/f.u.): 4.87
ΔH_f (0 K) (meV per atom): -1029
Total magnetic moment (μB per cell): 0.0

***

Record 2
Material: Cd12As3Pb5
Method: DFT, PBE
State: relaxed

abc: 14.693 14.693 14.693
angles: 109.47 109.47 109.47
Atoms (fractional coordinates):
Cd (0.062, 0.632, 0.391)
Cd (0.062, 0.929, 0.671)
Cd (0.071, 0.241, 0.132)
Cd (0.071, 0.329, 0.938)
Cd (0.109, 0.741, 0.671)
Cd (0.109, 0.868, 0.438)
Cd (0.132, 0.071, 0.241)
Cd (0.132, 0.562, 0.891)
Cd (0.171, 0.241, 0.609)
Cd (0.171, 0.429, 0.562)
Cd (0.241, 0.132, 0.071)
Cd (0.241, 0.609, 0.171)
Cd (0.259, 0.329, 0.891)
Cd (0.259, 0.429, 0.368)
Cd (0.329, 0.891, 0.259)
Cd (0.329, 0.938, 0.071)
Cd (0.368, 0.259, 0.429)
Cd (0.368, 0.609, 0.938)
Cd (0.391, 0.062, 0.632)
Cd (0.391, 0.829, 0.759)
Cd (0.429, 0.368, 0.259)
Cd (0.429, 0.562, 0.171)
Cd (0.438, 0.109, 0.868)
Cd (0.438, 0.829, 0.571)
Cd (0.562, 0.171, 0.429)
Cd (0.562, 0.891, 0.132)
Cd (0.571, 0.438, 0.829)
Cd (0.571, 0.632, 0.741)
Cd (0.609, 0.171, 0.241)
Cd (0.609, 0.938, 0.368)
Cd (0.632, 0.391, 0.062)
Cd (0.632, 0.741, 0.571)
Cd (0.671, 0.062, 0.929)
Cd (0.671, 0.109, 0.741)
Cd (0.741, 0.571, 0.632)
Cd (0.741, 0.671, 0.109)
Cd (0.759, 0.391, 0.829)
Cd (0.759, 0.868, 0.929)
Cd (0.829, 0.571, 0.438)
Cd (0.829, 0.759, 0.391)
Cd (0.868, 0.438, 0.109)
Cd (0.868, 0.929, 0.759)
Cd (0.891, 0.132, 0.562)
Cd (0.891, 0.259, 0.329)
Cd (0.929, 0.671, 0.062)
Cd (0.929, 0.759, 0.868)
Cd (0.938, 0.071, 0.329)
Cd (0.938, 0.368, 0.609)
As (0.125, 0.250, 0.375)
As (0.125, 0.375, 0.750)
As (0.250, 0.375, 0.125)
As (0.250, 0.875, 0.625)
As (0.375, 0.125, 0.250)
As (0.375, 0.750, 0.125)
As (0.625, 0.250, 0.875)
As (0.625, 0.875, 0.750)
As (0.750, 0.125, 0.375)
As (0.750, 0.625, 0.875)
As (0.875, 0.625, 0.250)
As (0.875, 0.750, 0.625)
Pb (0.000, 0.000, 0.000)
Pb (0.000, 0.000, 0.500)
Pb (0.000, 0.500, 0.000)
Pb (0.000, 0.500, 0.500)
Pb (0.125, 0.750, 0.875)
Pb (0.125, 0.875, 0.250)
Pb (0.250, 0.125, 0.875)
Pb (0.250, 0.625, 0.375)
Pb (0.375, 0.250, 0.625)
Pb (0.375, 0.625, 0.750)
Pb (0.500, 0.000, 0.000)
Pb (0.500, 0.000, 0.500)
Pb (0.500, 0.500, 0.000)
Pb (0.500, 0.500, 0.500)
Pb (0.625, 0.375, 0.250)
Pb (0.625, 0.750, 0.375)
Pb (0.750, 0.375, 0.625)
Pb (0.750, 0.875, 0.125)
Pb (0.875, 0.125, 0.750)
Pb (0.875, 0.250, 0.125)

Calculated values
D(E_F) (states/eV/f.u.): 8.97
ΔH_f (0 K) (meV per atom): 190
Total magnetic moment (μB per cell): 0.0